Entry 1:
# GGA-PBE NaYHgTe3, optimized geometry
data_NaYHgTe3
_chemical_formula_sum 'Na4 Y4 Hg4 Te12'
_space_group_name_H-M_alt 'P n m a'
_space_group_IT_number 62
_cell_length_a 14.777
_cell_length_b 4.411
_cell_length_c 11.971
_cell_angle_alpha 90.00
_cell_angle_beta 90.00
_cell_angle_gamma 90.00
loop_
_space_group_symop_operation_xyz
'x,y,z'
'-x,-y,-z'
'-x+1/2,-y,z+1/2'
'x+1/2,y,-z+1/2'
'x+1/2,-y+1/2,-z+1/2'
'-x+1/2,y+1/2,z+1/2'
'-x,y+1/2,-z'
'x,-y+1/2,z'
loop_
_atom_site_label
_atom_site_type_symbol
_atom_site_fract_x
_atom_site_fract_y
_atom_site_fract_z
Na1 Na 0.229 0.250 0.076
Y1 Y 0.014 0.250 0.343
Hg1 Hg 0.011 0.750 0.102
Te1 Te 0.112 0.250 0.568
Te2 Te 0.115 0.750 0.878
Te3 Te 0.149 0.750 0.262
# VASP energy   -90.862 eV for the cell shown
# Crystal system   orthorhombic

Entry 2:
# GGA-PBE Ta4GaGeC2, optimized geometry
data_Ta4GaGeC2
_chemical_formula_sum 'Ta4 Ga1 Ge1 C2'
_space_group_name_H-M_alt 'P -6 m 2'
_space_group_IT_number 187
_space_group_name_Hall 'P -6 2'
_cell_length_a 3.1876
_cell_length_b 3.1876
_cell_length_c 13.0879
_cell_angle_alpha 90.00
_cell_angle_beta 90.00
_cell_angle_gamma 120.00
loop_
_atom_site_label
_atom_site_type_symbol
_atom_site_fract_x
_atom_site_fract_y
_atom_site_fract_z
Ta1 Ta 0.0000 0.0000 0.1544
Ta2 Ta 0.3333 0.6667 0.3371
Ga1 Ga 0.0000 0.0000 0.5000
Ge1 Ge 0.3333 0.6667 0.0000
C1 C 0.6667 0.3333 0.2463
# VASP energy   -77.450 eV for the cell shown
# Crystal system   hexagonal